Entry 1:
A plane-wave DFT calculation with SCAN was carried out for a PBEsol-optimized structure of KTaCr.

The polymorph energy (0 for the lowest one) is 50 meV/atom. The total magnetization is 0.0 μB per cell. The calculation puts the density of states at the Fermi level at 2.38 states/eV/f.u. The value obtained for the final energy is -180.11 eV per cell.

The space group is I4mm (No. 107) and the conventional cell measures 3.178, 3.178 and 13.665 Å, with angles of 90.00, 90.00 and 90.00 degrees. The inequivalent atoms are K at (0.000, 0.000, 0.000), Ta at (0.000, 0.000, 0.727) and Cr at (0.000, 0.000, 0.303).


Entry 2:
A plane-wave DFT calculation with SCAN was carried out for a PBEsol-optimized structure of ZrTcW2.

The polymorph energy (0 for the lowest one) is 222 meV/atom. The total magnetization is 0.0 μB per cell. The calculation puts the density of states at the Fermi level at 2.76 states/eV/f.u. The value obtained for the final energy is -204.33 eV per cell.

The space group is P4/mmm (No. 123) and the conventional cell measures 3.761, 3.761 and 4.719 Å, with angles of 90.00, 90.00 and 90.00 degrees. The inequivalent atoms are Zr at (0.000, 0.000, 0.000), Tc at (0.500, 0.500, 0.000) and W at (0.000, 0.500, 0.500).


Entry 3:
A plane-wave DFT calculation with SCAN was carried out for a PBEsol-optimized structure of Cu3TcSe.

As for the raw formation energy: 1561.6 meV/atom. The total magnetization is 0.0 μB per cell. The calculation puts the density of states at the Fermi level at 4.00 states/eV/f.u. The value obtained for the final energy is -92.93 eV per cell.

The space group is Pm-3m (No. 221) and the conventional cell measures 4.542, 4.542 and 4.542 Å, with angles of 90.00, 90.00 and 90.00 degrees. The inequivalent atoms are Cu at (0.000, 0.000, 0.500), Tc at (0.000, 0.000, 0.000) and Se at (0.500, 0.500, 0.500).


Entry 4:
A plane-wave DFT calculation with SCAN was carried out for a PBEsol-optimized structure of ReRh7.

The polymorph energy (0 for the lowest one) is 13 meV/atom. The total magnetization is 0.0 μB per cell. The calculation puts the density of states at the Fermi level at 7.45 states/eV/f.u. The value obtained for the final energy is -615.91 eV per cell.

The space group is I4/mmm (No. 139) and the conventional cell measures 3.788, 3.788 and 15.140 Å, with angles of 90.00, 90.00 and 90.00 degrees. The inequivalent atoms are Re at (0.000, 0.000, 0.000), Rh at (0.000, 0.000, 0.254), Rh at (0.000, 0.000, 0.500) and Rh at (0.000, 0.500, 0.123).


Entry 5:
A plane-wave DFT calculation with SCAN was carried out for a PBEsol-optimized structure of CsLiZnS2.

As for the raw formation energy: -1321.5 meV/atom. The total magnetization is 0.0 μB per cell. The calculation puts the density of states at the Fermi level at 0.00 states/eV/f.u. The value obtained for the final energy is -159.16 eV per cell.

The space group is I-4m2 (No. 119) and the conventional cell measures 4.000, 4.000 and 13.907 Å, with angles of 90.00, 90.00 and 90.00 degrees. The inequivalent atoms are Cs at (0.000, 0.000, 0.000), Li at (0.000, 0.500, 0.250), Zn at (0.000, 0.500, 0.750) and S at (0.000, 0.000, 0.344).


Entry 6:
A plane-wave DFT calculation with SCAN was carried out for a PBEsol-optimized structure of ScBi2MoI.

As for the raw formation energy: 984.8 meV/atom. The total magnetization is 2.9 μB per cell. The calculation puts the density of states at the Fermi level at 3.90 states/eV/f.u. The value obtained for the final energy is -238.10 eV per cell.

The space group is P4/mmm (No. 123) and the conventional cell measures 5.538, 5.538 and 5.000 Å, with angles of 90.00, 90.00 and 90.00 degrees. The inequivalent atoms are Sc at (0.000, 0.000, 0.000), Bi at (0.000, 0.500, 0.000), Mo at (0.000, 0.000, 0.500) and I at (0.500, 0.500, 0.500).